Density functional theory data (meta-GGA SCAN) for a crystal of Ag2BiP2 relaxed with PBEsol.

a b c (Å): 4.437 4.437 9.807
angles (deg): 90.00 90.00 90.00
Space group I4/mmm (No. 139)
One atom of each set of equivalent atoms:
Ag 0.000 0.500 0.250 x4
Bi 0.000 0.000 0.000 x2
P 0.000 0.000 0.389 x4

Results
Formation energy from the elements in eV/f.u.: 1.7

***

Density functional theory data (meta-GGA SCAN) for a crystal of SrCa2Se relaxed with PBEsol.

a b c (Å): 4.647 4.708 6.040
angles (deg): 90.00 90.00 90.00
Space group Pmmm (No. 47)
One atom of each set of equivalent atoms:
Sr 0.000 0.000 0.000 x1
Ca 0.000 0.500 0.500 x1
Ca 0.500 0.000 0.500 x1
Se 0.500 0.500 0.000 x1

Results
Formation energy without anion corrections in eV per atom: -0.52

***

Density functional theory data (meta-GGA SCAN) for a crystal of Be2RuBr relaxed with PBEsol.

a b c (Å): 3.042 3.042 5.669
angles (deg): 90.00 90.00 90.00
Space group P4/mmm (No. 123)
One atom of each set of equivalent atoms:
Be 0.000 0.000 0.179 x2
Ru 0.500 0.500 0.000 x1
Br 0.500 0.500 0.500 x1

Results
E above lowest polymorph in eV/atom: 0.000
Formation energy without anion corrections in eV per atom: 0.09

***

Density functional theory data (meta-GGA SCAN) for a crystal of GaCuTcI2 relaxed with PBEsol.

a b c (Å): 5.291 5.291 4.819
angles (deg): 90.00 90.00 90.00
Space group P4/mmm (No. 123)
One atom of each set of equivalent atoms:
Ga 0.000 0.000 0.000 x1
Cu 0.500 0.500 0.500 x1
Tc 0.500 0.500 0.000 x1
I 0.000 0.500 0.500 x2

Results
E above lowest polymorph in eV/atom: 0.000
Formation energy without anion corrections in eV per atom: 0.93

***

Density functional theory data (meta-GGA SCAN) for a crystal of MnRu2Pb relaxed with PBEsol.

a b c (Å): 5.577 8.872 2.882
angles (deg): 90.00 117.78 90.00
Space group C2/m (No. 12)
One atom of each set of equivalent atoms:
Mn 0.000 0.000 0.000 x2
Ru 0.250 0.250 0.500 x4
Pb 0.000 0.500 0.000 x2

Results
Formation energy from the elements in eV/f.u.: 1.8

***

Density functional theory data (meta-GGA SCAN) for a crystal of BePb2W relaxed with PBEsol.

a b c (Å): 6.281 9.357 3.119
angles (deg): 90.00 119.22 90.00
Space group C2/m (No. 12)
One atom of each set of equivalent atoms:
Be 0.000 0.000 0.000 x2
Pb 0.250 0.250 0.000 x4
W 0.000 0.500 0.000 x2

Results
Formation energy from the elements in eV/f.u.: 4.9

***

Density functional theory data (meta-GGA SCAN) for a crystal of TlZnP2O relaxed with PBEsol.

a b c (Å): 5.144 5.144 4.020
angles (deg): 90.00 90.00 90.00
Space group P4/mmm (No. 123)
One atom of each set of equivalent atoms:
Tl 0.000 0.000 0.000 x1
Zn 0.500 0.500 0.500 x1
P 0.000 0.500 0.000 x2
O 0.000 0.000 0.500 x1

Results
Formation energy without anion corrections in eV per atom: 1.15

***

Density functional theory data (meta-GGA SCAN) for a crystal of CrIrW3 relaxed with PBEsol.

a b c (Å): 4.699 4.699 4.699
angles (deg): 90.00 90.00 90.00
Space group Pm-3m (No. 221)
One atom of each set of equivalent atoms:
Cr 0.000 0.000 0.000 x1
Ir 0.500 0.500 0.500 x1
W 0.000 0.500 0.500 x3

Results
Formation energy from the elements in eV/f.u.: 10.1

***

Density functional theory data (meta-GGA SCAN) for a crystal of LiZnPt2 relaxed with PBEsol.

a b c (Å): 2.825 2.825 6.721
angles (deg): 90.00 90.00 90.00
Space group P4/mmm (No. 123)
One atom of each set of equivalent atoms:
Li 0.000 0.000 0.000 x1
Zn 0.000 0.000 0.500 x1
Pt 0.500 0.500 0.247 x2

Results
Formation energy from the elements in eV/f.u.: -2.4

***

Density functional theory data (meta-GGA SCAN) for a crystal of Ti3Cu2SbP6O24 relaxed with PBEsol.

a b c (Å): 8.6933 8.6933 20.6528
angles (deg): 90.00 90.00 120.00
Space group R3 (No. 146, hexagonal axes)
One atom of each set of equivalent atoms:
Ti 0.0000 0.0000 0.0000 x3
Ti 0.0000 0.0000 0.2141 x3
Ti 0.0000 0.0000 0.5042 x3
Cu 0.0000 0.0000 0.3577 x3
Cu 0.0000 0.0000 0.8589 x3
Sb 0.0000 0.0000 0.7121 x3
P 0.0016 0.3066 0.6093 x9
P 0.0087 0.7131 0.1083 x9
O 0.0076 0.8136 0.0465 x9
O 0.0250 0.8286 0.1666 x9
O 0.0280 0.8299 0.7844 x9
O 0.1024 0.4298 0.3429 x9
O 0.1511 0.4805 0.2210 x9
O 0.1638 0.4899 0.9407 x9
O 0.1715 0.6858 0.1049 x9
O 0.1759 0.4864 0.6005 x9

Results
Formation energy without anion corrections in eV per atom: -2.40

***

Density functional theory data (meta-GGA SCAN) for a crystal of La2HfZnS relaxed with PBEsol.

a b c (Å): 5.518 5.518 4.779
angles (deg): 90.00 90.00 90.00
Space group P4/mmm (No. 123)
One atom of each set of equivalent atoms:
La 0.000 0.500 0.000 x2
Hf 0.000 0.000 0.000 x1
Zn 0.000 0.000 0.500 x1
S 0.500 0.500 0.500 x1

Results
Formation energy without anion corrections in eV per atom: 0.22

***

Density functional theory data (meta-GGA SCAN) for a crystal of InTcCl2 relaxed with PBEsol.

a b c (Å): 2.985 5.659 9.235
angles (deg): 90.00 90.00 90.00
Space group Cmmm (No. 65)
One atom of each set of equivalent atoms:
In 0.000 0.000 0.000 x2
Tc 0.000 0.000 0.500 x2
Cl 0.000 0.500 0.301 x4

Results
E above lowest polymorph in eV/atom: 0.213
Formation energy without anion corrections in eV per atom: -0.05

***

The following N(E_F) values (in states/eV/atom) correspond, in order, to the records above: 0.444; 0.871; 0.243; 0.526; 0.733; 0.563; 0.954; 1.107; 0.258; 0.379; 0.902; 0.645.
The following E_tot values (in eV/cell) correspond, in order, to the records above: -320.86; -63.75; -62.64; -135.45; -323.72; -441.50; -107.17; -288.48; -158.67; -1241.86; -170.94; -169.20.